[1]
DyMg8Rh2: relaxed, GGA-PBE.

a = 7.2606 Å, b = 7.2606 Å, c = 5.1923 Å
α = 97.88°, β = 97.88°, γ = 113.12°
Sites, in units of the cell vectors:
1 Dy 0.0000 0.0000 0.0000
2 Mg 0.0691 0.3298 0.5781
3 Mg 0.2672 0.7328 0.0000
4 Mg 0.3298 0.0691 0.5781
5 Mg 0.4160 0.4160 0.2253
6 Mg 0.5840 0.5840 0.7747
7 Mg 0.6702 0.9309 0.4219
8 Mg 0.7328 0.2672 0.0000
9 Mg 0.9309 0.6702 0.4219
10 Rh 0.3084 0.6916 0.5000
11 Rh 0.6916 0.3084 0.5000

Properties
Energy of formation from the pure elements = -13.7 kJ/mol of atoms
Magnetization = 0.00 μB/cell
D(E_F) = 6.80 states/eV/cell

=====

[2]
Dy2MgRh2: relaxed, GGA-PBE.

a = 5.8344 Å, b = 5.8344 Å, c = 7.9394 Å
α = 105.97°, β = 105.97°, γ = 55.44°
Sites, in units of the cell vectors:
1 Dy 0.0022 0.7027 0.8503
2 Dy 0.2973 0.9978 0.6497
3 Dy 0.7027 0.0022 0.3503
4 Dy 0.9978 0.2973 0.1497
5 Mg 0.3593 0.6407 0.2500
6 Mg 0.6407 0.3593 0.7500
7 Rh 0.2137 0.5154 0.4860
8 Rh 0.4846 0.7863 0.0140
9 Rh 0.5154 0.2137 0.9860
10 Rh 0.7863 0.4846 0.5140

Properties
Energy of formation from the pure elements = -69.3 kJ/mol of atoms
Magnetization = 0.00 μB/cell
D(E_F) = 4.58 states/eV/cell

=====

[3]
DyMg4Rh5: relaxed, GGA-PBE.

a = 3.2151 Å, b = 3.2151 Å, c = 15.6477 Å
α = 90.00°, β = 90.00°, γ = 90.00°
Sites, in units of the cell vectors:
1 Dy 0.0000 0.0000 0.0000
2 Mg 0.0000 0.0000 0.2126
3 Mg 0.0000 0.0000 0.4037
4 Mg 0.0000 0.0000 0.5963
5 Mg 0.0000 0.0000 0.7874
6 Rh 0.5000 0.5000 0.1117
7 Rh 0.5000 0.5000 0.3066
8 Rh 0.5000 0.5000 0.5000
9 Rh 0.5000 0.5000 0.6934
10 Rh 0.5000 0.5000 0.8883

Properties
Energy of formation from the pure elements = -53.1 kJ/mol of atoms
Magnetization = 0.00 μB/cell
D(E_F) = 7.52 states/eV/cell

=====

[4]
DyMg2Rh2: relaxed, GGA-PBE.

a = 9.3248 Å, b = 9.3248 Å, c = 3.2543 Å
α = 90.00°, β = 90.00°, γ = 159.66°
Sites, in units of the cell vectors:
1 Dy 0.0000 0.0000 0.0000
2 Mg 0.1752 0.8248 0.0000
3 Mg 0.8248 0.1752 0.0000
4 Rh 0.4033 0.5967 0.5000
5 Rh 0.5967 0.4033 0.5000

Properties
Energy of formation from the pure elements = -50.5 kJ/mol of atoms
Magnetization = 0.00 μB/cell
D(E_F) = 1.64 states/eV/cell

=====

[5]
DyMg9Rh2: relaxed, GGA-PBE.

a = 8.9713 Å, b = 8.9713 Å, c = 8.9713 Å
α = 100.11°, β = 100.11°, γ = 130.46°
Sites, in units of the cell vectors:
1 Dy 0.3750 0.6250 0.7500
2 Dy 0.6250 0.3750 0.2500
3 Mg 0.1250 0.8750 0.2500
4 Mg 0.1381 0.5690 0.3256
5 Mg 0.1381 0.8125 0.5691
6 Mg 0.1875 0.2566 0.3256
7 Mg 0.1875 0.8619 0.9309
8 Mg 0.2566 0.1875 0.8256
9 Mg 0.2566 0.4310 0.0691
10 Mg 0.4310 0.2566 0.5691
11 Mg 0.4310 0.8619 0.1744
12 Mg 0.5690 0.1381 0.8256
13 Mg 0.5690 0.7434 0.4309
14 Mg 0.7434 0.5690 0.9309
15 Mg 0.7434 0.8125 0.1744
16 Mg 0.8125 0.1381 0.0691
17 Mg 0.8125 0.7434 0.6744
18 Mg 0.8619 0.1875 0.4309
19 Mg 0.8619 0.4310 0.6744
20 Mg 0.8750 0.1250 0.7500
21 Rh 0.0000 0.0000 0.0000
22 Rh 0.0000 0.0000 0.5000
23 Rh 0.0000 0.5000 0.0000
24 Rh 0.5000 0.0000 0.5000

Properties
Energy of formation from the pure elements = -19.4 kJ/mol of atoms
Magnetization = 0.00 μB/cell
D(E_F) = 16.00 states/eV/cell

=====

[6]
Dy2MgRh3: relaxed, GGA-PBE.

a = 6.0090 Å, b = 6.0090 Å, c = 6.0090 Å
α = 135.51°, β = 126.57°, γ = 71.99°
Sites, in units of the cell vectors:
1 Dy 0.1794 0.1794 0.0000
2 Dy 0.8206 0.8206 0.0000
3 Mg 0.5000 0.5000 0.0000
4 Rh 0.0000 0.5000 0.5000
5 Rh 0.3580 0.8580 0.5000
6 Rh 0.6420 0.1420 0.5000

Properties
Energy of formation from the pure elements = -43.0 kJ/mol of atoms
Magnetization = 0.00 μB/cell
D(E_F) = 2.97 states/eV/cell

=====

[7]
Dy2MgRh3: relaxed, GGA-PBE.

a = 4.7064 Å, b = 4.7064 Å, c = 11.5479 Å
α = 90.00°, β = 90.00°, γ = 120.00°
Sites, in units of the cell vectors:
1 Dy 0.0000 0.0000 0.0000
2 Dy 0.0000 0.0000 0.5000
3 Dy 0.3333 0.6667 0.1804
4 Dy 0.6667 0.3333 0.8196
5 Mg 0.3333 0.6667 0.6631
6 Mg 0.6667 0.3333 0.3369
7 Rh 0.0000 0.0000 0.2536
8 Rh 0.0000 0.0000 0.7464
9 Rh 0.3333 0.6667 0.4210
10 Rh 0.3333 0.6667 0.9133
11 Rh 0.6667 0.3333 0.0867
12 Rh 0.6667 0.3333 0.5790

Properties
Energy of formation from the pure elements = -75.6 kJ/mol of atoms
Magnetization = 0.00 μB/cell
D(E_F) = 3.09 states/eV/cell

=====

[8]
Dy7Mg2Rh2: relaxed, GGA-PBE.

a = 6.8154 Å, b = 6.8154 Å, c = 7.2075 Å
α = 90.00°, β = 90.00°, γ = 107.42°
Sites, in units of the cell vectors:
1 Dy 0.0000 0.0000 0.0000
2 Dy 0.0000 0.5000 0.2480
3 Dy 0.0000 0.5000 0.7520
4 Dy 0.5000 0.0000 0.2480
5 Dy 0.5000 0.0000 0.7520
6 Dy 0.5000 0.5000 0.2407
7 Dy 0.5000 0.5000 0.7593
8 Mg 0.1737 0.1737 0.5000
9 Mg 0.8263 0.8263 0.5000
10 Rh 0.2864 0.7136 0.0000
11 Rh 0.7136 0.2864 0.0000

Properties
Energy of formation from the pure elements = -23.0 kJ/mol of atoms
Magnetization = 0.00 μB/cell
D(E_F) = 11.56 states/eV/cell

=====

[9]
Dy4Mg5Rh2: relaxed, GGA-PBE.

a = 7.8747 Å, b = 3.6343 Å, c = 9.6860 Å
α = 90.00°, β = 93.12°, γ = 90.00°
Sites, in units of the cell vectors:
1 Dy 0.1695 0.0000 0.3469
2 Dy 0.2045 0.0000 0.9462
3 Dy 0.7955 0.0000 0.0538
4 Dy 0.8305 0.0000 0.6531
5 Mg 0.1807 0.5000 0.6536
6 Mg 0.4506 0.5000 0.1685
7 Mg 0.5000 0.5000 0.5000
8 Mg 0.5494 0.5000 0.8315
9 Mg 0.8193 0.5000 0.3464
10 Rh 0.0745 0.5000 0.1459
11 Rh 0.9255 0.5000 0.8541

Properties
Energy of formation from the pure elements = -35.5 kJ/mol of atoms
Magnetization = 0.00 μB/cell
D(E_F) = 7.47 states/eV/cell

=====

[10]
Dy3Mg9Rh2: relaxed, GGA-PBE.

a = 8.4158 Å, b = 8.4158 Å, c = 8.4158 Å
α = 146.02°, β = 100.80°, γ = 89.05°
Sites, in units of the cell vectors:
1 Dy 0.0000 0.0000 0.0000
2 Dy 0.3090 0.3090 0.0000
3 Dy 0.6910 0.6910 0.0000
4 Mg 0.0067 0.3690 0.6376
5 Mg 0.1501 0.8724 0.2777
6 Mg 0.2686 0.6310 0.6376
7 Mg 0.4053 0.1276 0.2777
8 Mg 0.5000 0.0000 0.5000
9 Mg 0.5947 0.8724 0.7223
10 Mg 0.7314 0.3690 0.3624
11 Mg 0.8499 0.1276 0.7223
12 Mg 0.9933 0.6310 0.3624
13 Rh 0.3485 0.5000 0.8485
14 Rh 0.6515 0.5000 0.1515

Properties
Energy of formation from the pure elements = -21.2 kJ/mol of atoms
Magnetization = 0.00 μB/cell
D(E_F) = 9.95 states/eV/cell

=====

[11]
DyMgSb2Rh4: relaxed, GGA-PBE.

a = 8.4360 Å, b = 8.4360 Å, c = 8.4360 Å
α = 30.98°, β = 30.98°, γ = 30.98°
Sites, in units of the cell vectors:
1 Dy 0.0000 0.0000 0.0000
2 Mg 0.5000 0.5000 0.5000
3 Sb 0.2467 0.2467 0.2467
4 Sb 0.7533 0.7533 0.7533
5 Rh 0.1300 0.1300 0.1300
6 Rh 0.3947 0.3947 0.3947
7 Rh 0.6053 0.6053 0.6053
8 Rh 0.8700 0.8700 0.8700

Properties
Magnetization = 0.00 μB/cell
D(E_F) = 4.33 states/eV/cell
Calculated total energy = -6.126 eV/atom

=====

[12]
DyMgSc2Rh4: relaxed, GGA-PBE.

a = 7.9951 Å, b = 7.9951 Å, c = 7.9951 Å
α = 33.37°, β = 33.37°, γ = 33.37°
Sites, in units of the cell vectors:
1 Dy 0.0000 0.0000 0.0000
2 Mg 0.5000 0.5000 0.5000
3 Sc 0.2439 0.2439 0.2439
4 Sc 0.7561 0.7561 0.7561
5 Rh 0.1258 0.1258 0.1258
6 Rh 0.3776 0.3776 0.3776
7 Rh 0.6224 0.6224 0.6224
8 Rh 0.8742 0.8742 0.8742

Properties
Energy of formation from the pure elements = -84.7 kJ/mol of atoms
Magnetization = 0.00 μB/cell
D(E_F) = 3.24 states/eV/cell